[1]
DFT (PBE) results for a relaxed structure of Pr2PuGaRu2.

Cell lengths 6.174, 14.325, 6.321 Å; angles 90.00, 90.00, 90.00 degrees
Space group Ibam (No. 72)
Symmetry-distinct sites (fractional):
Pr  0.212  0.174  0.000 [8 per cell]
Pu  0.000  0.500  0.250 [4 per cell]
Ga  0.000  0.000  0.250 [4 per cell]
Ru  0.242  0.393  0.000 [8 per cell]

## Properties
Energy of formation from the pure elements (meV/atom): -256
Energy (eV per atom): -7.8340

[2]
DFT (PBE) results for a relaxed structure of PrPuGaRu.

Cell lengths 7.117, 7.117, 7.117 Å; angles 90.00, 90.00, 90.00 degrees
Space group F-43m (No. 216)
Symmetry-distinct sites (fractional):
Pr  0.000  0.000  0.000 [4 per cell]
Pu  0.000  0.000  0.500 [4 per cell]
Ga  0.250  0.250  0.250 [4 per cell]
Ru  0.250  0.250  0.750 [4 per cell]

## Properties
Energy of formation from the pure elements (meV/atom): -151
Energy (eV per atom): -8.0050

[3]
DFT (PBE) results for a relaxed structure of PrPuGaSi.

Cell lengths 7.225, 7.225, 7.225 Å; angles 90.00, 90.00, 90.00 degrees
Space group F-43m (No. 216)
Symmetry-distinct sites (fractional):
Pr  0.000  0.000  0.000 [4 per cell]
Pu  0.000  0.000  0.500 [4 per cell]
Ga  0.250  0.250  0.250 [4 per cell]
Si  0.250  0.250  0.750 [4 per cell]

## Properties
Formation energy from raw total energies (eV per formula unit): -1.33
Energy (eV per atom): -7.2218

[4]
DFT (PBE) results for a relaxed structure of PrPuGaSn.

Cell lengths 7.536, 7.536, 7.536 Å; angles 90.00, 90.00, 90.00 degrees
Space group F-43m (No. 216)
Symmetry-distinct sites (fractional):
Pr  0.000  0.000  0.000 [4 per cell]
Pu  0.000  0.000  0.500 [4 per cell]
Ga  0.250  0.250  0.250 [4 per cell]
Sn  0.250  0.250  0.750 [4 per cell]

## Properties
Energy of formation from the pure elements (meV/atom): -383
Energy (eV per atom): -6.9180

[5]
DFT (PBE) results for a relaxed structure of PrPuTlGa.

Cell lengths 7.585, 7.585, 7.585 Å; angles 90.00, 90.00, 90.00 degrees
Space group F-43m (No. 216)
Symmetry-distinct sites (fractional):
Pr  0.000  0.000  0.000 [4 per cell]
Pu  0.000  0.000  0.500 [4 per cell]
Tl  0.250  0.250  0.250 [4 per cell]
Ga  0.250  0.250  0.750 [4 per cell]

## Properties
Energy of formation from the pure elements (meV/atom): -218
Energy (eV per atom): -6.3438

[6]
DFT (PBE) results for a relaxed structure of Rb3Pr3GaSe8.

Cell lengths 14.817, 8.551, 9.594 Å; angles 90.00, 120.99, 90.00 degrees
Space group C2/m (No. 12)
Symmetry-distinct sites (fractional):
Rb  0.000  0.000  0.000 [2 per cell]
Rb  0.250  0.250  0.000 [4 per cell]
Pr  0.000  0.500  0.500 [2 per cell]
Pr  0.250  0.250  0.500 [4 per cell]
Ga  0.000  0.000  0.500 [2 per cell]
Se  0.014  0.228  0.313 [8 per cell]
Se  0.213  0.000  0.686 [4 per cell]
Se  0.235  0.500  0.704 [4 per cell]

## Properties
Formation energy from raw total energies (eV per formula unit): -20.15
Energy (eV per atom): -4.5529

[7]
DFT (PBE) results for a relaxed structure of Rb2PrGaSe4.

Cell lengths 12.257, 12.763, 8.801 Å; angles 90.00, 132.62, 90.00 degrees
Space group C2/c (No. 15)
Symmetry-distinct sites (fractional):
Rb  0.000  0.000  0.000 [4 per cell]
Rb  0.250  0.250  0.000 [4 per cell]
Pr  0.250  0.250  0.500 [4 per cell]
Ga  0.000  0.500  0.000 [4 per cell]
Se  0.007  0.267  0.036 [8 per cell]
Se  0.196  0.491  0.490 [8 per cell]

## Properties
Formation energy from raw total energies (eV per formula unit): -8.76
Energy (eV per atom): -4.0546

[8]
DFT (PBE) results for a relaxed structure of PrGa3Re.

Cell lengths 4.820, 4.820, 4.820 Å; angles 90.00, 90.00, 90.00 degrees
Space group Pm-3m (No. 221)
Symmetry-distinct sites (fractional):
Pr  0.000  0.000  0.000 [1 per cell]
Ga  0.000  0.500  0.500 [3 per cell]
Re  0.500  0.500  0.500 [1 per cell]

## Properties
Energy of formation from the pure elements (meV/atom): -230
Energy (eV per atom): -5.4918

[9]
DFT (PBE) results for a relaxed structure of PrGaRh4.

Cell lengths 7.491, 7.491, 7.491 Å; angles 90.00, 90.00, 90.00 degrees
Space group F-43m (No. 216)
Symmetry-distinct sites (fractional):
Pr  0.000  0.000  0.000 [4 per cell]
Ga  0.250  0.250  0.250 [4 per cell]
Rh  0.124  0.124  0.624 [16 per cell]

## Properties
Energy of formation from the pure elements (meV/atom): -376
Energy (eV per atom): -6.5780

[10]
DFT (PBE) results for a relaxed structure of Pr3Ga8Rh3.

Cell lengths 4.319, 9.954, 12.533 Å; angles 90.00, 90.00, 90.00 degrees
Space group Immm (No. 71)
Symmetry-distinct sites (fractional):
Pr  0.000  0.000  0.000 [2 per cell]
Pr  0.000  0.000  0.325 [4 per cell]
Ga  0.000  0.283  0.121 [8 per cell]
Ga  0.000  0.367  0.332 [8 per cell]
Rh  0.000  0.220  0.500 [4 per cell]
Rh  0.000  0.500  0.000 [2 per cell]

## Properties
Energy of formation from the pure elements (meV/atom): -695
Energy (eV per atom): -5.0244

[11]
DFT (PBE) results for a relaxed structure of Pr3Ga2Rh5.

Cell lengths 10.295, 10.295, 3.679 Å; angles 90.00, 90.00, 90.00 degrees
Space group P4/mbm (No. 127)
Symmetry-distinct sites (fractional):
Pr  0.000  0.000  0.000 [2 per cell]
Pr  0.175  0.325  0.000 [4 per cell]
Ga  0.120  0.620  0.000 [4 per cell]
Rh  0.000  0.500  0.500 [2 per cell]
Rh  0.070  0.781  0.500 [8 per cell]

## Properties
Energy of formation from the pure elements (meV/atom): -709
Energy (eV per atom): -6.4242

[12]
DFT (PBE) results for a relaxed structure of Pr4Ga12Rh.

Cell lengths 8.828, 8.828, 8.828 Å; angles 90.00, 90.00, 90.00 degrees
Space group Im-3m (No. 229)
Symmetry-distinct sites (fractional):
Pr  0.250  0.250  0.250 [8 per cell]
Ga  0.000  0.000  0.291 [12 per cell]
Ga  0.000  0.250  0.500 [12 per cell]
Rh  0.000  0.000  0.000 [2 per cell]

## Properties
Energy of formation from the pure elements (meV/atom): -619
Energy (eV per atom): -4.3123

[13]
DFT (PBE) results for a relaxed structure of Pr2Ga6Rh.

Cell lengths 8.935, 8.935, 8.935 Å; angles 90.00, 90.00, 90.00 degrees
Space group Fm-3m (No. 225)
Symmetry-distinct sites (fractional):
Pr  0.250  0.250  0.250 [8 per cell]
Ga  0.000  0.000  0.217 [24 per cell]
Rh  0.000  0.000  0.500 [4 per cell]

## Properties
Offset from the most stable computed form (eV per atom): 0.000
Energy of formation from the pure elements (meV/atom): -683
Energy (eV per atom): -4.5803